Density functional theory data (meta-GGA SCAN) for a PBEsol-optimized structure of ZrTc2Ni.

Calculated values
Theoretical density in kg/m³: 9723
Total DFT energy (no corrections) in eV/atom: -29.0439
Calculated formation energy in eV per atom: 0.20

Cell lengths 9.0879, 9.0879, 9.0879 Å; angles 17.48, 17.48, 17.48 degrees
Fractional coordinates of all 4 atoms:
Zr1 0.0000 0.0000 0.0000
Tc1 0.5055 0.5055 0.5055
Tc2 0.7623 0.7623 0.7623
Ni1 0.2491 0.2491 0.2491

Density functional theory data (meta-GGA SCAN) for a PBEsol-optimized structure of ZrTcNi.

Calculated values
Theoretical density in kg/m³: 8203
Total DFT energy (no corrections) in eV/atom: -27.1137
Calculated formation energy in eV per atom: 0.20

Cell lengths 4.1402, 4.1402, 4.1402 Å; angles 60.00, 60.00, 60.00 degrees
Fractional coordinates of all 3 atoms:
Zr1 0.0000 0.0000 0.0000
Tc1 0.5000 0.5000 0.5000
Ni1 0.2500 0.2500 0.2500

Density functional theory data (meta-GGA SCAN) for a PBEsol-optimized structure of ZrTc2Ni.

Calculated values
Theoretical density in kg/m³: 9643
Total DFT energy (no corrections) in eV/atom: -29.2415
Calculated formation energy in eV per atom: 0.01

Cell lengths 3.1901, 3.1901, 5.8535 Å; angles 90.00, 90.00, 90.00 degrees
Fractional coordinates of all 4 atoms:
Zr1 0.0000 0.0000 0.0000
Tc1 0.5000 0.5000 0.2929
Tc2 0.5000 0.5000 0.7071
Ni1 0.0000 0.0000 0.5000